(1)
Below is a geometry-optimized NaPuAgAu structure, with properties calculated at the PBE level.

Results
VASP energy in eV/atom: -5.52
Density in g/cm3: 10.02
Calculated formation energy in eV/f.u.: -0.31

Geometry as POSCAR:
```
NaPuAgAu
1.0
5.1180 0.0000 0.0000
2.5590 4.4323 0.0000
2.5590 1.4774 4.1788
Au Pu Ag Na
1 1 1 1
Direct
0.2500 0.2500 0.2500
0.0000 0.0000 0.0000
0.7500 0.7500 0.7500
0.5000 0.5000 0.5000
```

(2)
Below is a geometry-optimized RbNaAgAu structure, with properties calculated at the PBE level.

Results
VASP energy in eV/atom: -2.09
Density in g/cm3: 5.60
Calculated formation energy in eV/f.u.: 0.06

Geometry as POSCAR:
```
RbNaAgAu
1.0
5.5749 0.0000 0.0000
2.7875 4.8280 0.0000
2.7875 1.6093 4.5519
Na Ag Au Rb
1 1 1 1
Direct
0.7500 0.7500 0.7500
0.5000 0.5000 0.5000
0.0000 0.0000 0.0000
0.2500 0.2500 0.2500
```

(3)
Below is a geometry-optimized RbNa2AgAu structure, with properties calculated at the PBE level.

Results
VASP energy in eV/atom: -1.99
Density in g/cm3: 4.16
Calculated formation energy in eV/f.u.: -0.21

Geometry as POSCAR:
```
RbNa2AgAu
1.0
-1.9598 5.1055 -1.4529
-2.1567 0.6493 5.1909
4.6627 2.2607 1.6545
Ag Na Au Rb
1 2 1 1
Direct
0.0000 0.0000 0.5000
0.0000 0.5000 0.0000
0.5000 0.0000 0.0000
0.0000 0.0000 0.0000
0.5000 0.5000 0.5000
```

(4)
Below is a geometry-optimized RbNa2AgAu structure, with properties calculated at the PBE level.

Results
VASP energy in eV/atom: -1.96
Density in g/cm3: 4.24
Calculated formation energy in eV/f.u.: -0.06

Geometry as POSCAR:
```
RbNa2AgAu
1.0
-0.3591 2.9301 -4.7665
1.7037 -4.4922 -2.8898
-5.1624 -1.5824 -0.5837
Ag Au Na Rb
1 1 2 1
Direct
0.0000 0.0000 0.0000
0.0000 0.0000 0.5000
0.0000 0.5000 0.0000
0.5000 0.0000 0.0000
0.5000 0.5000 0.5000
```

(5)
Below is a geometry-optimized NaAgAuS2 structure, with properties calculated at the PBE level.

Results
VASP energy in eV/atom: -3.46
Density in g/cm3: 5.87
Formation energy without anion corrections in meV per atom: -320

Geometry as POSCAR:
```
NaAgAuS2
1.0
5.0238 0.0000 0.0000
0.0000 6.2552 0.1005
0.0000 -1.7938 7.0292
S Au Na Ag
4 2 2 2
Direct
0.6774 0.2716 0.5531
0.6774 0.7284 0.9469
0.3226 0.7284 0.4469
0.3226 0.2716 0.0531
0.0000 0.0000 0.0000
0.0000 0.0000 0.5000
0.1844 0.5000 0.7500
0.8156 0.5000 0.2500
0.5032 0.0000 0.7500
0.4968 0.0000 0.2500
```

(6)
Below is a geometry-optimized NaAg2SbAu structure, with properties calculated at the PBE level.

Results
VASP energy in eV/atom: -2.74
Density in g/cm3: 6.23
Formation energy without anion corrections in meV per atom: 149

Geometry as POSCAR:
```
NaAg2SbAu
1.0
5.2282 0.0000 0.0000
0.0000 5.4383 0.0000
0.0000 0.0000 5.2282
Sb Ag Na Au
1 2 1 1
Direct
0.0000 0.0000 0.0000
0.0000 0.0000 0.5000
0.5000 0.0000 0.0000
0.5000 0.5000 0.5000
0.0000 0.5000 0.0000
```

(7)
Below is a geometry-optimized NaScAgAu2 structure, with properties calculated at the PBE level.

Results
VASP energy in eV/atom: -3.05
Density in g/cm3: 7.53
Calculated formation energy in eV/f.u.: 1.79

Geometry as POSCAR:
```
NaScAgAu2
1.0
5.1530 0.0000 0.0000
0.0000 4.7297 0.0000
0.0000 0.0000 5.1530
Sc Ag Au Na
1 1 2 1
Direct
0.5000 0.5000 0.5000
0.0000 0.0000 0.0000
0.0000 0.0000 0.5000
0.5000 0.0000 0.0000
0.0000 0.5000 0.0000
```

(8)
Below is a geometry-optimized NaScAgAu structure, with properties calculated at the PBE level.

Results
VASP energy in eV/atom: -3.72
Density in g/cm3: 7.72
Calculated formation energy in eV/f.u.: -1.10

Geometry as POSCAR:
```
NaScAgAu
1.0
4.8403 0.0000 0.0000
2.4202 4.1918 0.0000
2.4202 1.3973 3.9521
Na Sc Ag Au
1 1 1 1
Direct
0.5000 0.5000 0.5000
0.0000 0.0000 0.0000
0.2500 0.2500 0.2500
0.7500 0.7500 0.7500
```

(9)
Below is a geometry-optimized NaAgAuSe2 structure, with properties calculated at the PBE level.

Results
VASP energy in eV/atom: -3.23
Density in g/cm3: 6.69
Formation energy without anion corrections in meV per atom: -346

Geometry as POSCAR:
```
NaAgAuSe2
1.0
5.3753 0.0000 0.0000
0.0000 6.4197 -0.0637
0.0000 -2.0202 7.0030
Se Au Na Ag
4 2 2 2
Direct
0.3151 0.7128 0.4355
0.6849 0.7128 0.9355
0.3151 0.2872 0.0645
0.6849 0.2872 0.5645
0.0000 0.0000 0.5000
0.0000 0.0000 0.0000
0.8150 0.5000 0.2500
0.1850 0.5000 0.7500
0.4571 0.0000 0.2500
0.5429 0.0000 0.7500
```

(10)
Below is a geometry-optimized NaSmAgAu structure, with properties calculated at the PBE level.

Results
VASP energy in eV/atom: -3.40
Density in g/cm3: 8.52
Calculated formation energy in eV/f.u.: -1.43

Geometry as POSCAR:
```
NaSmAgAu
1.0
5.0896 0.0000 0.0000
2.5448 4.4077 0.0000
2.5448 1.4692 4.1556
Sm Au Ag Na
1 1 1 1
Direct
0.7500 0.7500 0.7500
0.5000 0.5000 0.5000
0.0000 0.0000 0.0000
0.2500 0.2500 0.2500
```

(11)
Below is a geometry-optimized NaAgSnAu structure, with properties calculated at the PBE level.

Results
VASP energy in eV/atom: -3.05
Density in g/cm3: 9.04
Calculated formation energy in eV/f.u.: -0.75

Geometry as POSCAR:
```
NaAgSnAu
1.0
4.8777 0.0000 0.0000
2.4388 4.2242 0.0000
2.4388 1.4081 3.9826
Sn Na Au Ag
1 1 1 1
Direct
0.2500 0.2500 0.2500
0.7500 0.7500 0.7500
0.5000 0.5000 0.5000
0.0000 0.0000 0.0000
```

(12)
Below is a geometry-optimized Na2AgSn4Au3 structure, with properties calculated at the PBE level.

Results
VASP energy in eV/atom: -3.33
Density in g/cm3: 8.02
Calculated formation energy in eV/f.u.: -2.01

Geometry as POSCAR:
```
Na2AgSn4Au3
1.0
-2.4300 1.8583 -3.4544
-2.9193 -3.5709 0.1326
-6.7324 5.7957 7.8538
Au Sn Ag Na
3 4 1 2
Direct
0.5000 0.0000 0.8591
0.0000 0.0000 0.5000
0.0000 0.5000 0.1409
0.5000 0.5000 0.0000
0.0000 0.5000 0.3668
0.5000 0.0000 0.6332
0.0000 0.0000 0.0000
0.5000 0.5000 0.5000
0.5000 0.0000 0.2625
0.0000 0.5000 0.7375
```

(13)
Below is a geometry-optimized NaAgSnAu structure, with properties calculated at the PBE level.

Results
VASP energy in eV/atom: -3.00
Density in g/cm3: 8.74
Calculated formation energy in eV/f.u.: -0.56

Geometry as POSCAR:
```
NaAgSnAu
1.0
-3.2715 0.0183 -3.4396
3.9226 -3.8168 -0.4755
-1.2915 -3.5147 1.2097
Sn Na Au Ag
1 1 1 1
Direct
0.8851 0.7703 0.6645
0.6139 0.2277 0.4349
0.1123 0.2247 0.9351
0.3430 0.6860 0.2046
```

(14)
Below is a geometry-optimized NaAgTe2Au structure, with properties calculated at the PBE level.

Results
VASP energy in eV/atom: -3.02
Density in g/cm3: 6.93
Formation energy without anion corrections in meV per atom: -278

Geometry as POSCAR:
```
NaAgTe2Au
1.0
6.4170 0.0000 0.0000
0.0000 6.7725 -0.5102
0.0000 -2.6362 6.6272
Te Au Ag Na
4 2 2 2
Direct
0.3047 0.2728 0.0305
0.6953 0.7272 0.9695
0.6953 0.2728 0.5305
0.3047 0.7272 0.4695
0.0000 0.0000 0.0000
0.0000 0.0000 0.5000
0.6249 0.0000 0.7500
0.3751 0.0000 0.2500
0.1632 0.5000 0.7500
0.8368 0.5000 0.2500
```

(15)
Below is a geometry-optimized NaAgTe2Au structure, with properties calculated at the PBE level.

Results
VASP energy in eV/atom: -2.02
Density in g/cm3: 6.55
Formation energy without anion corrections in meV per atom: 729

Geometry as POSCAR:
```
NaAgTe2Au
1.0
-4.2123 -3.4325 -0.0904
0.1795 -0.3518 4.9924
-3.4281 4.1960 0.4189
Ag Na Te Au
1 1 2 1
Direct
0.0000 0.5000 0.0000
0.0000 0.0000 0.0000
0.0000 0.0000 0.5000
0.5000 0.0000 0.0000
0.5000 0.5000 0.5000
```

(16)
Below is a geometry-optimized NaThAgAu structure, with properties calculated at the PBE level.

Results
VASP energy in eV/atom: -3.94
Density in g/cm3: 9.79
Calculated formation energy in eV/f.u.: -0.90

Geometry as POSCAR:
```
NaThAgAu
1.0
-0.8401 5.0461 0.2289
-0.7709 2.2645 4.5276
3.5741 3.1047 1.9515
Th Ag Na Au
1 1 1 1
Direct
0.7500 0.7500 0.7500
0.5000 0.5000 0.5000
0.2500 0.2500 0.2500
0.0000 0.0000 0.0000
```

(17)
Below is a geometry-optimized NaTmAgAu structure, with properties calculated at the PBE level.

Results
VASP energy in eV/atom: -3.33
Density in g/cm3: 9.49
Calculated formation energy in eV/f.u.: -1.39

Geometry as POSCAR:
```
NaTmAgAu
1.0
4.9718 0.0000 0.0000
2.4859 4.3057 0.0000
2.4859 1.4352 4.0594
Au Tm Ag Na
1 1 1 1
Direct
0.7500 0.7500 0.7500
0.0000 0.0000 0.0000
0.2500 0.2500 0.2500
0.5000 0.5000 0.5000
```

(18)
Below is a geometry-optimized NaYAgAu structure, with properties calculated at the PBE level.

Results
VASP energy in eV/atom: -3.84
Density in g/cm3: 7.72
Calculated formation energy in eV/f.u.: -1.44

Geometry as POSCAR:
```
NaYAgAu
1.0
-4.4689 0.2351 2.2845
-0.3556 -0.9283 4.9251
-0.9930 3.7465 3.1973
Na Y Ag Au
1 1 1 1
Direct
0.2500 0.2500 0.2500
0.7500 0.7500 0.7500
0.0000 0.0000 0.0000
0.5000 0.5000 0.5000
```

(19)
Below is a geometry-optimized Na2Zn3AgAu12 structure, with properties calculated at the PBE level.

Results
VASP energy in eV/atom: -2.76
Density in g/cm3: 12.97
Calculated formation energy in eV/f.u.: -0.98

Geometry as POSCAR:
```
Na2Zn3AgAu12
1.0
-2.8265 -6.3235 -1.4160
4.8251 -3.8108 3.4895
-3.6665 -0.5812 6.0166
Zn Au Na Ag
3 12 2 1
Direct
0.0000 0.0000 0.5000
0.5000 0.0000 0.0000
0.0000 0.5000 0.0000
0.9367 0.3803 0.3803
0.1965 0.6950 0.1965
0.0633 0.6197 0.6197
0.8035 0.8035 0.3050
0.3803 0.9367 0.3803
0.6197 0.6197 0.0633
0.6950 0.1965 0.1965
0.3803 0.3803 0.9367
0.6197 0.0633 0.6197
0.3050 0.8035 0.8035
0.8035 0.3050 0.8035
0.1965 0.1965 0.6950
0.3820 0.3820 0.3820
0.6180 0.6180 0.6180
0.0000 0.0000 0.0000
```

(20)
Below is a geometry-optimized Na2ZnAgAu structure, with properties calculated at the PBE level.

Results
VASP energy in eV/atom: -1.70
Density in g/cm3: 4.93
Calculated formation energy in eV/f.u.: 1.52

Geometry as POSCAR:
```
Na2ZnAgAu
1.0
5.3862 0.0000 0.0000
0.0000 4.8303 0.0000
0.0000 0.0000 5.3862
Au Ag Na Zn
1 1 2 1
Direct
0.5000 0.5000 0.5000
0.0000 0.5000 0.0000
0.0000 0.0000 0.5000
0.5000 0.0000 0.0000
0.0000 0.0000 0.0000
```